No. 1
An optimized crystal structure of BeAuSCl2, computed with PBE-GGA.

a b c (Å): 4.027 4.027 6.487
angles (deg): 90.00 90.00 90.00
Element x y z (fractional)
Be (0.000, 0.000, 0.000)
S (0.000, 0.000, 0.500)
Cl (0.000, 0.500, 0.000)
Cl (0.500, 0.000, 0.000)
Au (0.500, 0.500, 0.500)

Summary:
DOS(E_F) = 4.96 states/eV/cell
final energy = -15.0 eV for the cell shown
total magnetization = 0.003 μB/f.u.
SG = P4/mmm, No. 123
formation energy from raw total energies = -41.6 meV/atom
polymorph energy (0 for the lowest one) = 0 meV/atom


No. 2
An optimized crystal structure of Na3MoS, computed with PBE-GGA.

a b c (Å): 5.360 5.360 5.360
angles (deg): 90.00 90.00 90.00
Element x y z (fractional)
Mo (0.500, 0.500, 0.500)
Na (0.500, 0.000, 0.000)
Na (0.000, 0.000, 0.500)
Na (0.000, 0.500, 0.000)
S (0.000, 0.000, 0.000)

Summary:
DOS(E_F) = 0.24 states/eV/cell
final energy = -16.7 eV for the cell shown
total magnetization = 5.033 μB/f.u.
SG = Pm-3m, No. 221
formation energy from raw total energies = 437.1 meV/atom
polymorph energy (0 for the lowest one) = 0 meV/atom


No. 3
An optimized crystal structure of BaNaCd2Rh, computed with PBE-GGA.

a b c (Å): 5.385 5.385 5.661
angles (deg): 90.00 90.00 90.00
Element x y z (fractional)
Cd (0.000, 0.500, 0.000)
Cd (0.500, 0.000, 0.000)
Ba (0.000, 0.000, 0.500)
Na (0.500, 0.500, 0.500)
Rh (0.000, 0.000, 0.000)

Summary:
DOS(E_F) = 3.57 states/eV/cell
final energy = -12.8 eV for the cell shown
total magnetization = 0.000 μB/f.u.
formation energy = -0.0757 eV per atom
SG = P4/mmm, No. 123
polymorph energy (0 for the lowest one) = 17 meV/atom


No. 4
An optimized crystal structure of Li3Sb2Pb, computed with PBE-GGA.

a b c (Å): 4.288 7.735 8.584
angles (deg): 90.00 90.00 90.00
Element x y z (fractional)
Pb (0.500, 0.044, 0.415)
Pb (0.500, 0.544, 0.585)
Sb (0.000, 0.246, 0.638)
Sb (0.500, 0.259, 0.115)
Sb (0.500, 0.759, 0.885)
Sb (0.000, 0.746, 0.362)
Li (0.000, 0.867, 0.686)
Li (0.000, 0.970, 0.067)
Li (0.500, 0.615, 0.176)
Li (0.500, 0.115, 0.824)
Li (0.000, 0.470, 0.933)
Li (0.000, 0.367, 0.314)

Summary:
DOS(E_F) = 4.39 states/eV/cell
final energy = -39.9 eV for the cell shown
total magnetization = 0.000 μB/f.u.
SG = Pmc2_1, No. 26
formation energy from raw total energies = -378.7 meV/atom
polymorph energy (0 for the lowest one) = 5 meV/atom


No. 5
An optimized crystal structure of Pm6Si2Rh, computed with PBE-GGA.

a b c (Å): 6.327 8.092 9.984
angles (deg): 90.00 90.36 90.00
Element x y z (fractional)
Pm (0.146, 0.326, 0.442)
Pm (0.354, 0.826, 0.058)
Pm (0.633, 0.176, 0.564)
Pm (0.129, 0.036, 0.759)
Pm (0.133, 0.324, 0.064)
Pm (0.871, 0.964, 0.241)
Pm (0.367, 0.824, 0.436)
Pm (0.867, 0.676, 0.936)
Pm (0.854, 0.674, 0.558)
Pm (0.646, 0.174, 0.942)
Pm (0.371, 0.536, 0.741)
Pm (0.629, 0.464, 0.259)
Si (0.926, 0.382, 0.747)
Si (0.574, 0.882, 0.753)
Si (0.074, 0.618, 0.253)
Si (0.426, 0.118, 0.247)
Rh (0.500, 0.500, 0.000)
Rh (0.000, 0.000, 0.500)

Summary:
DOS(E_F) = 20.68 states/eV/cell
final energy = -101.1 eV for the cell shown
total magnetization = 0.001 μB/f.u.
SG = P2_1/c, No. 14
formation energy from raw total energies = -427.5 meV/atom


No. 6
An optimized crystal structure of Li2AsW, computed with PBE-GGA.

a b c (Å): 3.273 3.273 5.760
angles (deg): 90.00 90.00 90.00
Element x y z (fractional)
Li (0.500, 0.500, 0.247)
Li (0.000, 0.000, 0.010)
W (0.000, 0.000, 0.522)
As (0.500, 0.500, 0.721)

Summary:
DOS(E_F) = 2.03 states/eV/cell
final energy = -21.2 eV for the cell shown
total magnetization = 0.000 μB/f.u.
formation energy = 0.0540 eV per atom
SG = P4mm, No. 99


No. 7
An optimized crystal structure of Ca2Mg, computed with PBE-GGA.

a b c (Å): 5.581 5.581 5.581
angles (deg): 60.00 60.00 60.00
Element x y z (fractional)
Ca (0.250, 0.250, 0.250)
Ca (0.750, 0.750, 0.750)
Mg (0.000, 0.000, 0.000)

Summary:
DOS(E_F) = 2.83 states/eV/cell
final energy = -5.1 eV for the cell shown
total magnetization = 0.000 μB/f.u.
formation energy = 0.1758 eV per atom
SG = Fm-3m, No. 225


No. 8
An optimized crystal structure of YZn3Ga2, computed with PBE-GGA.

a b c (Å): 4.190 7.955 7.551
angles (deg): 115.32 90.00 105.27
Element x y z (fractional)
Y (0.856, 0.712, 0.927)
Y (0.144, 0.288, 0.073)
Zn (0.689, 0.378, 0.463)
Zn (0.611, 0.221, 0.717)
Zn (0.389, 0.779, 0.283)
Zn (0.038, 0.076, 0.376)
Zn (0.311, 0.622, 0.537)
Zn (0.962, 0.924, 0.624)
Ga (0.797, 0.593, 0.281)
Ga (0.203, 0.407, 0.719)
Ga (0.480, 0.959, 0.826)
Ga (0.520, 0.041, 0.174)

Summary:
DOS(E_F) = 2.45 states/eV/cell
final energy = -36.6 eV for the cell shown
total magnetization = 0.000 μB/f.u.
formation energy = -0.3236 eV per atom
SG = C2/m, No. 12
polymorph energy (0 for the lowest one) = 0 meV/atom


Question: The highest DOS(E_F) belongs to which entry?
Answer: Pm6Si2Rh


What did the eighth record say?
An optimized crystal structure of YZn3Ga2, computed with PBE-GGA.

a b c (Å): 4.190 7.955 7.551
angles (deg): 115.32 90.00 105.27
Element x y z (fractional)
Y (0.856, 0.712, 0.927)
Y (0.144, 0.288, 0.073)
Zn (0.689, 0.378, 0.463)
Zn (0.611, 0.221, 0.717)
Zn (0.389, 0.779, 0.283)
Zn (0.038, 0.076, 0.376)
Zn (0.311, 0.622, 0.537)
Zn (0.962, 0.924, 0.624)
Ga (0.797, 0.593, 0.281)
Ga (0.203, 0.407, 0.719)
Ga (0.480, 0.959, 0.826)
Ga (0.520, 0.041, 0.174)

Summary:
DOS(E_F) = 2.45 states/eV/cell
final energy = -36.6 eV for the cell shown
total magnetization = 0.000 μB/f.u.
formation energy = -0.3236 eV per atom
SG = C2/m, No. 12
polymorph energy (0 for the lowest one) = 0 meV/atom


Question: Look up the total magnetization of the sixth one.
Answer: 0.000 μB/f.u.


Question: Which value of total magnetization does entry 3 give?
Answer: 0.000 μB/f.u.